A plane-wave DFT calculation with PBE with a Hubbard U was carried out for crystalline Ni3IO at its relaxed geometry.

## Properties
Space-group type: No. 221
Total energy, eV/f.u.: -13.9

```
5
Lattice="4.1795 0.0000 0.0000 0.0000 4.1795 0.0000 0.0000 0.0000 4.1795" Properties=species:S:1:pos:R:3 pbc="T T T"
I 2.0897 2.0897 2.0897
Ni 2.0897 0.0000 0.0000
O 0.0000 0.0000 0.0000
Ni 0.0000 0.0000 2.0897
Ni 0.0000 2.0897 0.0000
```